# 1
! AlRe2Rh (meta-GGA SCAN, single point on PBEsol structure); values from VASP
&SYSTEM
  ibrav = 0, nat = 4, ntyp = 3
/
ATOMIC_SPECIES
Al 26.98 Al.upf
Re 186.21 Re.upf
Rh 102.91 Rh.upf
CELL_PARAMETERS angstrom
2.7572 0.0000 0.0000
0.0000 3.8320 0.0000
0.0000 0.0000 5.4037
ATOMIC_POSITIONS angstrom
Al 0.0000 0.0000 0.0000
Re 0.0000 0.0000 2.6815
Re 1.3786 1.9160 1.5403
Rh 1.3786 1.9160 4.3117
! Calculated formation energy   -0.283 eV/atom
! D(E_F)   2.7 states/eV/cell
! Total moment   0.000 μB/f.u.

=====

# 2
! MnIr3F (meta-GGA SCAN, single point on PBEsol structure); values from VASP
&SYSTEM
  ibrav = 0, nat = 5, ntyp = 3
/
ATOMIC_SPECIES
Mn 54.94 Mn.upf
Ir 192.22 Ir.upf
F 19.00 F.upf
CELL_PARAMETERS angstrom
4.3878 0.0000 0.0000
0.0000 4.3878 0.0000
0.0000 0.0000 4.3878
ATOMIC_POSITIONS angstrom
Mn 0.0000 0.0000 0.0000
Ir 0.0000 0.0000 2.1939
Ir 0.0000 2.1939 0.0000
Ir 2.1939 0.0000 0.0000
F 2.1939 2.1939 2.1939
! Uncorrected formation energy   1567.2 meV/atom
! D(E_F)   4.0 states/eV/cell
! Total moment   0.037 μB/f.u.

=====

# 3
! BeCdN2 (meta-GGA SCAN, single point on PBEsol structure); values from VASP
&SYSTEM
  ibrav = 0, nat = 4, ntyp = 3
/
ATOMIC_SPECIES
Be 9.01 Be.upf
Cd 112.41 Cd.upf
N 14.01 N.upf
CELL_PARAMETERS angstrom
0.0000 2.7096 2.7096
2.7096 0.0000 2.7096
2.7096 2.7096 0.0000
ATOMIC_POSITIONS angstrom
Be 0.0000 0.0000 0.0000
Cd 2.7096 2.7096 2.7096
N 1.3548 1.3548 1.3548
N 4.0644 4.0644 4.0644
! Uncorrected formation energy   1358.4 meV/atom
! D(E_F)   2.4 states/eV/cell
! Total moment   0.008 μB/f.u.

=====

# 4
! BeOs (meta-GGA SCAN, single point on PBEsol structure); values from VASP
&SYSTEM
  ibrav = 0, nat = 4, ntyp = 2
/
ATOMIC_SPECIES
Be 9.01 Be.upf
Os 190.23 Os.upf
CELL_PARAMETERS angstrom
1.6013 0.9245 4.9048
-1.6013 0.9245 4.9048
0.0000 -1.8490 4.9048
ATOMIC_POSITIONS angstrom
Be 0.0000 0.0000 2.5478
Be 0.0000 0.0000 12.1668
Os 0.0000 0.0000 5.9217
Os 0.0000 0.0000 8.7928
! Calculated formation energy   0.268 eV/atom
! D(E_F)   2.2 states/eV/cell
! Total moment   0.000 μB/f.u.

=====

# 5
! CoSbBr2 (meta-GGA SCAN, single point on PBEsol structure); values from VASP
&SYSTEM
  ibrav = 0, nat = 8, ntyp = 3
/
ATOMIC_SPECIES
Co 58.93 Co.upf
Sb 121.76 Sb.upf
Br 79.90 Br.upf
CELL_PARAMETERS angstrom
-4.5336 4.5336 2.4491
4.5336 -4.5336 2.4491
4.5336 4.5336 -2.4491
ATOMIC_POSITIONS angstrom
Co 0.0000 0.0000 0.0000
Co 0.0000 4.5336 1.2245
Sb 4.5336 0.0000 1.2245
Sb 0.0000 0.0000 2.4491
Br 0.8562 2.2668 0.6123
Br -2.2668 3.6774 1.8368
Br -0.8562 6.8004 0.6123
Br 2.2668 5.3898 1.8368
! Uncorrected formation energy   42.9 meV/atom
! D(E_F)   3.4 states/eV/cell
! Energy relative to the lowest polymorph listed for this composition   0 meV per atom
! Total moment   1.396 μB/f.u.

=====

# 6
! LiIn (meta-GGA SCAN, single point on PBEsol structure); values from VASP
&SYSTEM
  ibrav = 0, nat = 4, ntyp = 2
/
ATOMIC_SPECIES
Li 6.94 Li.upf
In 114.82 In.upf
CELL_PARAMETERS angstrom
3.1549 0.0000 0.0000
-1.5774 2.7322 0.0000
0.0000 0.0000 10.2989
ATOMIC_POSITIONS angstrom
Li 0.0000 1.8215 0.0000
Li 1.5774 0.9107 5.1494
In 0.0000 1.8215 2.8066
In 1.5774 0.9107 7.9561
! Calculated formation energy   -0.107 eV/atom
! D(E_F)   1.5 states/eV/cell
! Total moment   0.000 μB/f.u.